# 1
The following is a meta-GGA SCAN calculation of a crystal of NaBeNF2 relaxed with PBEsol, from Alexandria.

Calculated total energy ... -32.95 eV per cell
Total moment ... 2.000 μB/f.u.
Theoretical density ... 2.86 g/cm3

Cell: 3.757 3.757 3.452 Å, 90.00 90.00 90.00°
Atoms (fractional coordinates):
Na  0.000  0.000  0.000
Be  0.500  0.500  0.500
N  0.500  0.500  0.000
F  0.000  0.500  0.500
F  0.500  0.000  0.500

=====

# 2
The following is a meta-GGA SCAN calculation of a crystal of BeN2OF relaxed with PBEsol, from Alexandria.

Calculated total energy ... -21.35 eV per cell
Total moment ... 2.663 μB/f.u.
Theoretical density ... 2.37 g/cm3

Cell: 3.297 3.297 4.653 Å, 90.00 90.00 90.00°
Atoms (fractional coordinates):
Be  0.000  0.000  0.000
N  0.000  0.500  0.500
N  0.500  0.000  0.500
O  0.500  0.500  0.000
F  0.500  0.500  0.500

=====

# 3
The following is a meta-GGA SCAN calculation of a crystal of BePtN2F relaxed with PBEsol, from Alexandria.

Calculated total energy ... -91.34 eV per cell
Total moment ... 0.739 μB/f.u.
Theoretical density ... 5.54 g/cm3

Cell: 3.657 3.657 5.627 Å, 90.00 90.00 90.00°
Atoms (fractional coordinates):
Be  0.000  0.000  0.000
Pt  0.500  0.500  0.500
N  0.000  0.500  0.500
N  0.500  0.000  0.500
F  0.500  0.500  0.000

=====

# 4
The following is a meta-GGA SCAN calculation of a crystal of BeSNF2 relaxed with PBEsol, from Alexandria.

Calculated total energy ... -28.13 eV per cell
Total moment ... 0.000 μB/f.u.
Theoretical density ... 2.46 g/cm3

Cell: 4.393 4.393 3.251 Å, 90.00 90.00 90.00°
Atoms (fractional coordinates):
Be  0.000  0.000  0.000
S  0.500  0.500  0.500
N  0.500  0.500  0.000
F  0.000  0.500  0.500
F  0.500  0.000  0.500

=====

# 5
The following is a meta-GGA SCAN calculation of a crystal of BeSiN2F relaxed with PBEsol, from Alexandria.

Calculated total energy ... -35.12 eV per cell
Total moment ... 0.000 μB/f.u.
Theoretical density ... 3.41 g/cm3

Cell: 3.604 3.604 3.155 Å, 90.00 90.00 90.00°
Atoms (fractional coordinates):
Be  0.000  0.000  0.000
Si  0.500  0.500  0.500
N  0.000  0.500  0.000
N  0.500  0.000  0.000
F  0.000  0.000  0.500

=====

# 6
The following is a meta-GGA SCAN calculation of a crystal of YBeN2F relaxed with PBEsol, from Alexandria.

Calculated total energy ... -53.52 eV per cell
Total moment ... 2.002 μB/f.u.
Theoretical density ... 3.08 g/cm3

Cell: 4.342 4.342 4.141 Å, 90.00 90.00 90.00°
Atoms (fractional coordinates):
Y  0.000  0.000  0.000
Be  0.500  0.500  0.500
N  0.000  0.500  0.000
N  0.500  0.000  0.000
F  0.000  0.000  0.500

=====

# 7
The following is a meta-GGA SCAN calculation of a crystal of Na2BeF relaxed with PBEsol, from Alexandria.

Calculated total energy ... -17.55 eV per cell
Total moment ... 0.006 μB/f.u.
Theoretical density ... 1.65 g/cm3

Cell: 4.719 4.719 4.719 Å, 60.00 60.00 60.00°
Atoms (fractional coordinates):
Na  0.250  0.250  0.250
Na  0.750  0.750  0.750
Be  0.000  0.000  0.000
F  0.500  0.500  0.500

=====

# 8
The following is a meta-GGA SCAN calculation of a crystal of Na3Be3Pb2F13 relaxed with PBEsol, from Alexandria.

Calculated total energy ... -574.73 eV per cell
Total moment ... 0.000 μB/f.u.
Theoretical density ... 4.63 g/cm3

Cell: 9.343 7.053 9.469 Å, 90.00 119.49 90.00°
Atoms (fractional coordinates):
Na  0.163  0.000  0.323
Na  0.172  0.490  0.324
Na  0.241  0.246  0.006
Na  0.759  0.746  0.994
Na  0.828  0.990  0.676
Na  0.837  0.500  0.677
Be  0.092  0.249  0.626
Be  0.133  0.748  0.032
Be  0.473  0.743  0.592
Be  0.527  0.243  0.408
Be  0.867  0.248  0.968
Be  0.908  0.749  0.374
Pb  0.241  0.749  0.755
Pb  0.481  0.243  0.764
Pb  0.519  0.743  0.236
Pb  0.759  0.249  0.245
F  0.014  0.753  0.846
F  0.043  0.742  0.129
F  0.097  0.728  0.454
F  0.144  0.428  0.735
F  0.148  0.253  0.497
F  0.182  0.085  0.750
F  0.254  0.572  0.075
F  0.254  0.923  0.083
F  0.340  0.246  0.327
F  0.384  0.735  0.403
F  0.402  0.922  0.637
F  0.411  0.570  0.653
F  0.492  0.270  0.020
F  0.508  0.770  0.980
F  0.589  0.070  0.347
F  0.598  0.422  0.363
F  0.616  0.235  0.597
F  0.660  0.746  0.673
F  0.746  0.072  0.925
F  0.746  0.423  0.917
F  0.818  0.585  0.250
F  0.852  0.753  0.503
F  0.856  0.928  0.265
F  0.903  0.228  0.546
F  0.957  0.242  0.871
F  0.986  0.253  0.154

=====

# 9
The following is a meta-GGA SCAN calculation of a crystal of NaBe2Tl3F8 relaxed with PBEsol, from Alexandria.

Calculated total energy ... -296.71 eV per cell
Total moment ... 0.000 μB/f.u.
Theoretical density ... 6.40 g/cm3

Cell: 5.709 5.709 7.406 Å, 90.00 90.00 120.00°
Atoms (fractional coordinates):
Na  0.000  0.000  0.000
Be  0.333  0.667  0.733
Be  0.667  0.333  0.267
Tl  0.000  0.000  0.500
Tl  0.333  0.667  0.182
Tl  0.667  0.333  0.818
F  0.184  0.368  0.808
F  0.184  0.816  0.808
F  0.333  0.667  0.526
F  0.368  0.184  0.192
F  0.632  0.816  0.808
F  0.667  0.333  0.474
F  0.816  0.184  0.192
F  0.816  0.632  0.192

=====

# 10
The following is a meta-GGA SCAN calculation of a crystal of BeO3F relaxed with PBEsol, from Alexandria.

Calculated total energy ... -20.12 eV per cell
Total moment ... 0.511 μB/f.u.
Theoretical density ... 2.82 g/cm3

Cell: 3.551 3.551 3.551 Å, 90.00 90.00 90.00°
Atoms (fractional coordinates):
Be  0.000  0.000  0.000
O  0.000  0.500  0.500
O  0.500  0.000  0.500
O  0.500  0.500  0.000
F  0.500  0.500  0.500

=====

# 11
The following is a meta-GGA SCAN calculation of a crystal of BeOsO2F relaxed with PBEsol, from Alexandria.

Calculated total energy ... -93.42 eV per cell
Total moment ... 0.539 μB/f.u.
Theoretical density ... 4.85 g/cm3

Cell: 3.620 3.620 6.535 Å, 90.00 90.00 90.00°
Atoms (fractional coordinates):
Be  0.000  0.000  0.000
Os  0.500  0.500  0.500
O  0.000  0.500  0.500
O  0.500  0.000  0.500
F  0.500  0.500  0.000

=====

# 12
The following is a meta-GGA SCAN calculation of a crystal of BePtO2F relaxed with PBEsol, from Alexandria.

Calculated total energy ... -90.44 eV per cell
Total moment ... 0.000 μB/f.u.
Theoretical density ... 6.74 g/cm3

Cell: 3.897 3.897 4.136 Å, 90.00 90.00 90.00°
Atoms (fractional coordinates):
Be  0.000  0.000  0.000
Pt  0.500  0.500  0.500
O  0.000  0.500  0.500
O  0.500  0.000  0.500
F  0.500  0.500  0.000